Record 1
This record from Alexandria describes a PBEsol-optimized structure of ScTe2. The functional is SCAN.

Cell and atoms, written as POSCAR:
```
ScTe2
1.0
5.207 0.000 0.000
0.000 5.207 0.000
0.000 0.000 3.160
Sc Te
1 2
Direct
0.000 0.000 0.000
0.000 0.500 0.500
0.500 0.000 0.500
```

## Properties
For the formation energy without anion corrections, the calculation gives -1.82 eV/f.u. The calculation puts the spin magnetization at 0.000 Bohr magnetons per cell. Its crystal system is tetragonal.

=====

Record 2
This record from Alexandria describes a PBEsol-optimized structure of ScTe2. The functional is SCAN.

Cell and atoms, written as POSCAR:
```
ScTe2
1.0
2.029 -7.375 0.000
2.029 7.375 0.000
0.000 0.000 5.663
Sc Te
2 4
Direct
0.180 0.820 0.750
0.820 0.180 0.250
0.177 0.823 0.250
0.465 0.535 0.250
0.535 0.465 0.750
0.823 0.177 0.750
```

## Properties
For the formation energy without anion corrections, the calculation gives -3.19 eV/f.u. The calculation puts the spin magnetization at 0.000 Bohr magnetons per cell. Its crystal system is orthorhombic.

=====

Record 3
This record from Alexandria describes a PBEsol-optimized structure of Sc2Te3. The functional is SCAN.

Cell and atoms, written as POSCAR:
```
Sc2Te3
1.0
3.548 -6.112 0.000
3.548 6.112 0.000
-2.333 0.000 6.599
Sc Te
4 6
Direct
0.085 0.915 0.750
0.249 0.751 0.250
0.751 0.249 0.750
0.915 0.085 0.250
0.000 0.500 0.500
0.170 0.335 0.001
0.335 0.170 0.501
0.500 0.000 0.000
0.665 0.830 0.499
0.830 0.665 0.999
```

## Properties
For the formation energy without anion corrections, the calculation gives -6.57 eV/f.u. The calculation puts the spin magnetization at 0.000 Bohr magnetons per cell. Its crystal system is monoclinic.

=====

Record 4
This record from Alexandria describes a PBEsol-optimized structure of ScTe3. The functional is SCAN.

Cell and atoms, written as POSCAR:
```
ScTe3
1.0
-1.948 2.462 5.963
1.948 -2.462 5.963
1.948 2.462 -5.963
Sc Te
1 3
Direct
0.000 0.000 0.000
0.180 0.680 0.500
0.500 0.500 0.000
0.820 0.320 0.500
```

## Properties
For the formation energy without anion corrections, the calculation gives -2.19 eV/f.u. The calculation puts the spin magnetization at 0.000 Bohr magnetons per cell. Its crystal system is orthorhombic.

=====

Q: What is the spin magnetization in the fourth record?
A: 0.000 Bohr magnetons per cell

=====

Q: Which of these has the lowest formation energy without anion corrections?
A: Sc2Te3